# 1
Compound: AuC
Source: Alexandria
Functional: GGA-PBE
Structure: optimized geometry

Cell and atoms, written as POSCAR:
```
AuC
1.0
-4.1527 2.5564 3.5576
-1.2814 -5.3964 2.3819
4.1893 0.8834 4.2551
C Au
6 6
Cartesian
-3.0374 -2.7691 3.5653
0.4066 -2.4773 2.2548
2.5012 -2.0356 4.3823
1.0565 1.0808 3.0170
-2.3967 -0.0709 2.3743
-1.0199 2.3590 4.7958
-3.7552 -0.7809 3.8592
1.7743 -0.9074 2.7231
-1.0290 1.4991 2.8426
1.1336 -3.6056 3.9140
1.0656 1.9408 4.9702
-1.6789 -2.0591 2.0804
```

Summary:
Formation enthalpy at 0 K ... 1.999 eV/atom
Space-group type ... Pm-3n (223)
Theoretical density ... 9.5 g/cm³

---

# 2
Compound: AuC
Source: Alexandria
Functional: GGA-PBE
Structure: optimized geometry

Cell and atoms, written as POSCAR:
```
AuC
1.0
-3.8843 0.4598 1.7283
0.5989 -4.0302 2.4182
2.0090 -1.2588 4.8502
Au C
2 2
Cartesian
0.1795 -0.1975 0.4560
-0.1657 -3.5393 5.8594
1.4665 -2.7873 4.0375
-1.4527 -0.9495 2.2779
```

Summary:
Formation enthalpy at 0 K ... 2.001 eV/atom
Space-group type ... P2_1/m (11)
Theoretical density ... 8.9 g/cm³

---

# 3
Compound: AuC
Source: Alexandria
Functional: GGA-PBE
Structure: optimized geometry

Cell and atoms, written as POSCAR:
```
AuC
1.0
-2.2578 -1.6690 -0.8779
0.6622 -1.9839 2.0686
-1.7657 1.3901 1.8984
Au C
1 1
Cartesian
0.0000 0.0000 0.0000
-1.6806 -1.1314 1.5446
```

Summary:
Formation enthalpy at 0 K ... 2.395 eV/atom
Space-group type ... Pm-3m (221)
Theoretical density ... 13.6 g/cm³

---

# 4
Compound: AuC5
Source: Alexandria
Functional: GGA-PBE
Structure: optimized geometry

Cell and atoms, written as POSCAR:
```
AuC5
1.0
0.0000 3.1254 3.1254
3.1254 0.0000 3.1254
3.1254 3.1254 0.0000
C Au
5 1
Cartesian
1.5627 1.5627 1.5627
2.5674 3.6833 2.5674
3.6833 2.5674 2.5674
3.6833 3.6833 3.6833
2.5674 2.5674 3.6833
0.0000 0.0000 0.0000
```

Summary:
Formation enthalpy at 0 K ... 3.424 eV/atom
Space-group type ... F-43m (216)
Theoretical density ... 7.0 g/cm³